Below is a relaxed Ca3In2SnPd8 crystal, with properties calculated at the PBE-GGA level. Values from VASP.

Properties
The value obtained for the total magnetization is 0.0 Bohr magnetons per cell. Its space group is No. 164.

Cell and atoms, written as Quantum ESPRESSO input:
```
&SYSTEM
  ibrav = 0, nat = 14, ntyp = 4
/
ATOMIC_SPECIES
Ca 40.08 Ca.upf
In 114.82 In.upf
Sn 118.71 Sn.upf
Pd 106.42 Pd.upf
CELL_PARAMETERS angstrom
-5.117 2.116 -0.220
1.453 -3.306 4.203
3.259 8.455 5.523
ATOMIC_POSITIONS angstrom
Ca 1.129 3.341 5.890
Ca -1.533 3.924 3.616
Ca 0.000 0.000 0.000
In -0.438 -0.724 3.235
In 0.034 7.989 6.272
Sn 1.630 4.228 2.761
Pd 2.020 5.652 7.400
Pd -2.424 1.614 2.107
Pd 1.324 0.110 5.104
Pd -1.728 7.156 4.402
Pd 0.599 1.759 3.007
Pd -1.003 5.506 6.500
Pd -1.230 1.166 4.995
Pd 0.826 6.100 4.512
```

***

Below is a relaxed AcSmB12 crystal, with properties calculated at the PBE-GGA level. Values from VASP.

Properties
The value obtained for the total magnetization is 0.0 Bohr magnetons per cell. Its space group is No. 123.

Cell and atoms, written as Quantum ESPRESSO input:
```
&SYSTEM
  ibrav = 0, nat = 14, ntyp = 3
/
ATOMIC_SPECIES
Ac 227.00 Ac.upf
Sm 150.36 Sm.upf
B 10.81 B.upf
CELL_PARAMETERS angstrom
-1.120 -3.968 -0.576
3.667 -1.256 1.519
-3.241 -0.198 7.661
ATOMIC_POSITIONS angstrom
Ac -1.620 -0.099 3.831
Sm 0.000 0.000 0.000
B 0.810 -1.471 2.535
B -0.831 -1.571 6.415
B -0.018 -2.691 3.524
B -1.649 -2.790 7.380
B -0.626 -2.284 1.907
B -2.267 -2.384 5.786
B 0.955 -2.632 1.224
B -0.676 -2.731 5.080
B 1.574 -3.037 2.818
B -0.067 -3.138 6.697
B 0.138 -3.851 2.189
B -1.503 -3.951 6.069
```

***

no.,energy of formation from the pure elements (eV/atom)
1,-0.560
2,-0.496